<i>
Ti2AlN: optimized geometry, PBE.

a = 2.9925 Å, b = 2.9925 Å, c = 7.1102 Å
α = 102.21°, β = 102.21°, γ = 60.00°
Element x y z (fractional)
1 Ti 0.2242 0.2242 0.1692
2 Ti 0.7758 0.7758 0.8308
3 Al 0.0000 0.0000 0.5000
4 N 0.5000 0.5000 0.0000

Properties
**Mass density**: 4.2 g cm⁻³
**SG**: C2/m (12)



<ii>
Ti2AlN: optimized geometry, PBE.

a = 7.0804 Å, b = 7.0804 Å, c = 7.0804 Å
α = 24.35°, β = 24.35°, γ = 24.35°
Element x y z (fractional)
1 Ti 0.0000 0.0000 0.0000
2 Ti 0.2195 0.2195 0.2195
3 Al 0.7771 0.7771 0.7771
4 N 0.6092 0.6092 0.6092

Properties
**Mass density**: 4.3 g cm⁻³
**SG**: R3m (160)



Last place for stability: <i>